Density functional theory data (PBE) for a relaxed AgPd3Pb2 crystal.

Cell: 5.729 7.381 17.563 Å, 90.00 90.00 141.05°
Fractional positions:
Pd (0.307, 0.750, 0.119)
Pd (0.703, 0.250, 0.547)
Pd (0.193, 0.250, 0.619)
Pd (0.193, 0.250, 0.280)
Pd (0.807, 0.750, 0.381)
Pd (0.693, 0.250, 0.881)
Pd (0.807, 0.750, 0.720)
Pd (0.297, 0.750, 0.453)
Pd (0.797, 0.750, 0.047)
Pd (0.693, 0.250, 0.220)
Pd (0.203, 0.250, 0.953)
Pd (0.307, 0.750, 0.780)
Pb (0.595, 0.251, 0.050)
Pb (0.634, 0.249, 0.704)
Pb (0.095, 0.251, 0.450)
Pb (0.405, 0.749, 0.950)
Pb (0.366, 0.751, 0.296)
Pb (0.866, 0.751, 0.204)
Pb (0.134, 0.249, 0.796)
Pb (0.905, 0.749, 0.550)
Ag (0.090, 0.251, 0.118)
Ag (0.410, 0.749, 0.618)
Ag (0.590, 0.251, 0.382)
Ag (0.910, 0.749, 0.882)

Results
calculated density = 11.97 Mg/m³
energy relative to the elements = -0.173 eV/atom
total magnetization = 0.00 μB per cell
relative energy among the computed polymorphs = 0.00 eV per formula unit

Density functional theory data (PBE) for a relaxed CuSnOsC crystal.

Cell: 3.354 3.346 6.432 Å, 89.98 88.44 60.08°
Fractional positions:
C (0.867, 0.799, 0.705)
Sn (0.565, 0.450, 0.306)
Cu (0.918, 0.774, 0.007)
Os (0.205, 0.130, 0.648)

Results
calculated density = 10.21 Mg/m³
energy relative to the elements = 0.448 eV/atom
total magnetization = 0.00 μB per cell
relative energy among the computed polymorphs = 0.21 eV per formula unit

Density functional theory data (PBE) for a relaxed Ho3C2Cl2 crystal.

Cell: 3.544 6.241 7.069 Å, 99.46 90.02 106.64°
Fractional positions:
Cl (0.873, 0.744, 0.621)
Cl (0.127, 0.256, 0.379)
Ho (0.000, 0.000, 0.000)
Ho (0.229, 0.457, 0.787)
Ho (0.771, 0.543, 0.213)
C (0.634, 0.268, 0.930)
C (0.366, 0.732, 0.070)

Results
calculated density = 6.64 Mg/m³
uncorrected energy = -6.05 eV/atom
total magnetization = 0.85 μB per cell

Density functional theory data (PBE) for a relaxed AlTlRh crystal.

Cell: 4.299 4.299 3.470 Å, 90.00 90.00 120.00°
Fractional positions:
Tl (0.667, 0.333, 0.667)
Al (0.000, 0.000, 0.166)
Rh (0.333, 0.667, 0.167)

Results
calculated density = 10.00 Mg/m³
energy relative to the elements = -0.088 eV/atom
total magnetization = 0.00 μB per cell
relative energy among the computed polymorphs = 0.45 eV per formula unit

Density functional theory data (PBE) for a relaxed ZrPtSeBr2 crystal.

Cell: 5.242 5.242 5.230 Å, 90.00 90.00 90.00°
Fractional positions:
Se (0.000, 0.000, 0.500)
Pt (0.500, 0.500, 0.500)
Br (0.000, 0.500, 0.000)
Br (0.500, 0.000, 0.000)
Zr (0.000, 0.000, 0.000)

Results
calculated density = 6.07 Mg/m³
total magnetization = 0.58 μB per cell
relative energy among the computed polymorphs = 0.00 eV per formula unit

Density functional theory data (PBE) for a relaxed Li3CaBe crystal.

Cell: 4.758 4.758 4.758 Å, 90.00 90.00 90.00°
Fractional positions:
Be (0.000, 0.000, 0.000)
Li (0.000, 0.000, 0.500)
Li (0.500, 0.000, 0.000)
Li (0.000, 0.500, 0.000)
Ca (0.500, 0.500, 0.500)

Results
calculated density = 1.08 Mg/m³
energy relative to the elements = 0.274 eV/atom
total magnetization = 0.00 μB per cell
relative energy among the computed polymorphs = 0.00 eV per formula unit

Which value of total magnetization does entry 6 give?
0.00 μB per cell

Which formula does entry 6 have?
Li3CaBe

total magnetization of number 1 (AgPd3Pb2)?
0.00 μB per cell